SrMg2Cd2Hg | GGA-PBE | relaxed

Computed properties:
ΔH_f (0 K), eV/atom: -0.204
Final energy, Ry/atom: -0.101
Density of states at the Fermi level, states/eV/f.u.: 3.143
Size of the total moment, μB per cell: 0.00

a = 5.132 Å, b = 5.132 Å, c = 6.752 Å
α = 90.00°, β = 90.00°, γ = 120.00°
Sites, in units of the cell vectors:
Sr 0.000 0.000 0.000
Mg 0.333 0.667 0.665
Mg 0.667 0.333 0.335
Cd 0.333 0.667 0.220
Cd 0.667 0.333 0.780
Hg 0.000 0.000 0.500